1.
VASP calculation (PBE) on a relaxed structure of AgTeMo2.

Cell lengths 3.404, 4.544, 4.694 Å; angles 90.00, 90.00, 90.00 degrees
Fractional positions:
Ag: 0.000 0.000 0.000
Te: 0.500 0.500 0.000
Mo: 0.000 0.500 0.500
Mo: 0.500 0.000 0.500

## Properties
DOS at the Fermi energy, states/eV/f.u.: 4.3
Raw formation energy, meV/atom: 701
SG: Pmmm

2.
VASP calculation (PBE) on a relaxed structure of Ag2TeMo.

Cell lengths 3.983, 3.983, 9.966 Å; angles 90.00, 90.00, 90.00 degrees
Fractional positions:
Ag: 0.000 0.500 0.250
Ag: 0.000 0.500 0.750
Ag: 0.500 0.000 0.250
Ag: 0.500 0.000 0.750
Te: 0.000 0.000 0.000
Te: 0.500 0.500 0.500
Mo: 0.000 0.000 0.500
Mo: 0.500 0.500 0.000

## Properties
DOS at the Fermi energy, states/eV/f.u.: 2.9
Raw formation energy, meV/atom: 564
SG: I4/mmm

3.
VASP calculation (PBE) on a relaxed structure of AgTeMo2.

Cell lengths 3.399, 4.698, 9.123 Å; angles 90.00, 90.00, 90.00 degrees
Fractional positions:
Ag: 0.000 0.000 0.000
Ag: 0.500 0.500 0.500
Te: 0.000 0.500 0.236
Te: 0.500 0.000 0.736
Mo: 0.000 0.000 0.490
Mo: 0.000 0.500 0.773
Mo: 0.500 0.000 0.273
Mo: 0.500 0.500 0.990

## Properties
DOS at the Fermi energy, states/eV/f.u.: 3.1
Raw formation energy, meV/atom: 560
SG: Imm2

Number 1: E_tot -6.212 eV per atom, ρ 9.8 g cm⁻³, total magnetization 0.000 μB per atom. Number 2: E_tot -4.355 eV per atom, ρ 9.2 g cm⁻³, total magnetization 0.592 μB per atom. Number 3: E_tot -6.354 eV per atom, ρ 9.7 g cm⁻³, total magnetization 0.000 μB per atom.